Here is Pr12ErSn3 after structural relaxation from Alexandria. Energies are from PBE-GGA.

```
Pr12ErSn3
1.0
5.016 0.000 0.000
0.000 5.016 0.000
0.000 0.000 20.377
Sn Pr Er
3 12 1
Cartesian
0.000 0.000 5.199
0.000 0.000 15.178
0.000 0.000 10.189
2.508 2.508 0.000
2.508 2.508 15.159
0.000 2.508 2.697
2.508 0.000 7.707
0.000 2.508 7.707
2.508 2.508 5.218
2.508 2.508 10.189
2.508 0.000 2.697
2.508 0.000 17.680
0.000 2.508 17.680
2.508 0.000 12.670
0.000 2.508 12.670
0.000 0.000 0.000
```

Output
formation enthalpy at 0 K: -0.323 eV/atom
symmetry: No. 123
magnetic moment: 0.00 μB per cell
Fermi-level density of states: 17.4 states/eV per cell